36
Lattice="7.6308 -4.4169 0.0000 7.6308 4.4169 0.0000 -5.1209 0.0000 7.2514" Properties=species:S:1:pos:R:3 comment="LiMo2P3O12, optimized geometry, DFT PBE+U" crystal_system=monoclinic e_tot_ev_per_atom=-7.203 pbc="T T T"
Li 5.0704 2.5792 3.6257
Li 7.6308 -2.5792 0.0000
Mo 4.6305 2.1990 0.6537
Mo 4.6151 2.2007 6.8036
Mo 2.0701 -2.1990 4.2795
Mo 7.1755 -2.2007 3.1779
P 2.1043 0.3632 1.8885
P -0.4561 -0.3632 5.5142
P 7.4971 0.9265 1.9350
P 4.9366 -0.9265 5.5607
P 11.9423 0.9248 1.9447
P 9.3819 -0.9248 5.5704
O 0.9702 3.0936 6.8393
O -0.4490 0.5051 4.2322
O 3.1713 2.8664 5.5480
O 3.3536 1.2907 1.9150
O 2.1114 -0.5051 0.6065
O -0.4106 0.4644 6.7890
O 5.9148 3.1539 5.3976
O 6.0923 1.5980 2.0098
O 2.1499 -0.4644 3.1632
O 8.2483 1.3148 0.6714
O 0.7931 -1.2907 5.5407
O 4.7792 0.6157 5.5435
O 8.2276 1.3646 3.2215
O 11.2489 1.3985 0.6578
O 7.3396 -0.6157 1.9178
O 3.5319 -1.5980 5.6356
O 5.6879 -1.3148 4.2971
O 3.5306 -3.0936 3.2136
O 5.7317 -2.8664 1.9223
O 9.5471 0.6129 5.6480
O 5.6672 -1.3646 6.8472
O 8.6885 -1.3985 4.2836
O 12.1075 -0.6129 2.0223
O 8.4752 -3.1539 1.7719